This record from the Open Quantum Materials Database describes a relaxed structure of Pm4Co4O11. The functional is GGA+U.

a b c (Å): 5.327 7.616 5.628
angles (deg): 90.00 90.05 90.00
Positions (direct):
Pm (0.000, 0.000, 0.000)
Pm (0.038, 0.500, 0.115)
Pm (0.497, 0.500, 0.633)
Pm (0.543, 0.000, 0.493)
Co (0.024, 0.241, 0.557)
Co (0.024, 0.759, 0.557)
Co (0.514, 0.252, 0.061)
Co (0.514, 0.748, 0.061)
O (0.131, 0.000, 0.600)
O (0.204, 0.312, 0.835)
O (0.204, 0.688, 0.835)
O (0.297, 0.310, 0.364)
O (0.297, 0.690, 0.364)
O (0.423, 0.000, 0.087)
O (0.614, 0.500, 0.039)
O (0.728, 0.212, 0.748)
O (0.728, 0.788, 0.748)
O (0.830, 0.212, 0.274)
O (0.830, 0.788, 0.274)

Calculated values
DFT total energy ... -7.15 eV/atom